1.
Below is a relaxed MgTlFeS3 crystal, with properties calculated at the PBE-GGA level.

## Properties
crystal system	monoclinic

```
MgTlFeS3
1.0
8.1839 0.0000 0.0000
0.0000 3.6359 0.0000
-3.6604 0.0000 9.3914
Mg Tl Fe S
2 2 2 6
Direct
0.1568 0.2500 0.1212
0.8432 0.7500 0.8788
0.2252 0.7500 0.7298
0.7748 0.2500 0.2702
0.4308 0.7500 0.4063
0.5692 0.2500 0.5937
0.0483 0.2500 0.8585
0.3075 0.2500 0.4460
0.4044 0.7500 0.1883
0.5956 0.2500 0.8117
0.6925 0.7500 0.5540
0.9517 0.7500 0.1415
```


2.
Below is a relaxed MgFe2Sb crystal, with properties calculated at the PBE-GGA level.

## Properties
crystal system	cubic

```
MgFe2Sb
1.0
6.2699 0.0000 0.0000
0.0000 6.2699 0.0000
0.0000 0.0000 6.2699
Mg Fe Sb
4 8 4
Direct
0.0000 0.0000 0.0000
0.0000 0.0000 0.5000
0.0000 0.5000 0.0000
0.5000 0.0000 0.0000
0.2637 0.2637 0.2637
0.2637 0.2637 0.7363
0.2637 0.7363 0.2637
0.2637 0.7363 0.7363
0.7363 0.2637 0.2637
0.7363 0.2637 0.7363
0.7363 0.7363 0.2637
0.7363 0.7363 0.7363
0.0000 0.5000 0.5000
0.5000 0.0000 0.5000
0.5000 0.5000 0.0000
0.5000 0.5000 0.5000
```


3.
Below is a relaxed MgFe2Sb crystal, with properties calculated at the PBE-GGA level.

## Properties
crystal system	cubic

```
MgFe2Sb
1.0
6.1306 0.0000 0.0000
0.0000 6.1306 0.0000
0.0000 0.0000 6.1306
Mg Fe Sb
4 8 4
Direct
0.0000 0.0000 0.0000
0.0000 0.0000 0.5000
0.0000 0.5000 0.0000
0.5000 0.0000 0.0000
0.2596 0.2596 0.2596
0.2596 0.2596 0.7404
0.2596 0.7404 0.2596
0.2596 0.7404 0.7404
0.7404 0.2596 0.2596
0.7404 0.2596 0.7404
0.7404 0.7404 0.2596
0.7404 0.7404 0.7404
0.0000 0.5000 0.5000
0.5000 0.0000 0.5000
0.5000 0.5000 0.0000
0.5000 0.5000 0.5000
```


4.
Below is a relaxed MgTaFeSb crystal, with properties calculated at the PBE-GGA level.

## Properties
crystal system	cubic
E above lowest polymorph	3.5	kJ per mole of atoms

```
MgTaFeSb
1.0
0.0000 3.2583 3.2583
3.2583 0.0000 3.2583
3.2583 3.2583 0.0000
Mg Ta Fe Sb
1 1 1 1
Direct
0.0000 0.0000 0.0000
0.2500 0.2500 0.2500
0.7500 0.7500 0.7500
0.5000 0.5000 0.5000
```


The records above yield raw total energy values of -56.675, -84.695, -84.982, -23.937 eV per cell, respectively.